Run P
## La2Pm3Pr5 (GGA-PBE)

Data for a relaxed structure of La2Pm3Pr5.

Cell lengths 10.195, 10.199, 11.353 Å; angles 128.53, 128.52, 67.23 degrees
Atoms (fractional coordinates):
Pr 0.484 0.734 0.467
Pr 0.024 0.774 0.547
Pm 0.233 0.983 0.966
Pm 0.767 0.017 0.034
Pr 0.976 0.226 0.453
Pm 0.273 0.529 0.750
La 0.218 0.972 0.248
Pm 0.023 0.779 0.250
Pm 0.977 0.221 0.750
Pr 0.724 0.474 0.949
La 0.470 0.724 0.752
La 0.530 0.276 0.248
Pr 0.276 0.526 0.051
Pr 0.124 0.380 0.247
Pr 0.516 0.266 0.533
Pr 0.876 0.620 0.753
Pr 0.377 0.133 0.753
La 0.782 0.028 0.752
Pr 0.623 0.867 0.247
Pm 0.727 0.471 0.250

Computed properties:
**Space group**: C2/c (15)
**DOS at the Fermi energy**: 36.0 states/eV/cell

---

Run Q
## La2Pm3Pr5 (GGA-PBE)

Data for a relaxed structure of La2Pm3Pr5.

Cell lengths 8.338, 10.988, 10.988 Å; angles 54.29, 67.70, 67.70 degrees
Atoms (fractional coordinates):
Pm 0.250 0.000 0.000
La 0.886 0.224 0.004
Pr 0.865 0.535 0.735
Pm 0.377 0.374 0.872
La 0.114 0.776 0.996
Pr 0.511 0.239 0.239
Pr 0.250 0.500 0.500
Pm 0.750 0.000 0.000
Pr 0.365 0.735 0.535
Pm 0.123 0.128 0.626
Pr 0.135 0.465 0.265
Pr 0.011 0.239 0.239
Pm 0.877 0.872 0.374
Pm 0.623 0.626 0.128
La 0.386 0.004 0.224
Pr 0.635 0.265 0.465
Pr 0.750 0.500 0.500
Pr 0.989 0.761 0.761
La 0.614 0.996 0.776
Pr 0.489 0.761 0.761

Computed properties:
**Space group**: Ibam (72)
**DOS at the Fermi energy**: 26.5 states/eV/cell

---

If we sort the structures by their calculated energies, the order from most to least stable is run P, run Q.

---

Run P
## La6PmPr3 (GGA-PBE)

Data for a relaxed structure of La6PmPr3.

Cell lengths 10.206, 10.206, 7.182 Å; angles 44.72, 44.72, 60.00 degrees
Atoms (fractional coordinates):
La 0.772 0.103 0.708
La 0.103 0.418 0.708
La 0.272 0.917 0.206
La 0.418 0.772 0.708
La 0.917 0.605 0.206
Pm 0.851 0.851 0.446
Pr 0.606 0.606 0.182
Pr 0.105 0.105 0.686
La 0.605 0.272 0.206
Pr 0.351 0.351 0.946

Computed properties:
**Space group**: R3 (146)
**DOS at the Fermi energy**: 18.4 states/eV/cell

---

Run Q
## La6PmPr3 (GGA-PBE)

Data for a relaxed structure of La6PmPr3.

Cell lengths 6.511, 8.491, 8.491 Å; angles 113.70, 104.81, 104.81 degrees
Atoms (fractional coordinates):
La 0.383 0.491 0.491
La 0.892 0.509 0.000
Pm 0.049 0.000 0.000
La 0.745 0.235 0.235
La 0.892 0.000 0.509
Pr 0.976 0.623 0.623
La 0.510 0.765 0.000
La 0.510 0.000 0.765
Pr 0.353 0.000 0.377
Pr 0.353 0.377 0.000

Computed properties:
**Space group**: R3m (160)
**DOS at the Fermi energy**: 14.2 states/eV/cell

---

If we sort the structures by their calculated energies, the order from most to least stable is run P, run Q.

---

Run P
## La3Pm2Pr4 (GGA-PBE)

Data for a relaxed structure of La3Pm2Pr4.

Cell lengths 5.950, 10.413, 13.482 Å; angles 151.05, 90.00, 106.60 degrees
Atoms (fractional coordinates):
Pr 0.143 0.285 0.913
La 0.431 0.861 0.546
Pr 0.278 0.556 0.598
Pr 0.722 0.444 0.402
Pm 0.265 0.529 0.830
Pm 0.735 0.471 0.170
Pr 0.857 0.715 0.087
La 0.000 0.000 0.000
La 0.569 0.139 0.454

Computed properties:
**Space group**: C2/m (12)
**DOS at the Fermi energy**: 13.0 states/eV/cell

---

Run Q
## La3Pm2Pr4 (GGA-PBE)

Data for a relaxed structure of La3Pm2Pr4.

Cell lengths 5.255, 8.292, 8.297 Å; angles 107.60, 108.46, 90.00 degrees
Atoms (fractional coordinates):
Pm 0.668 0.999 0.336
Pm 0.332 0.001 0.664
Pr 0.779 0.668 0.557
Pr 0.444 0.668 0.888
Pr 0.556 0.332 0.112
La 0.889 0.333 0.778
La 0.111 0.667 0.222
La 0.000 0.000 0.000
Pr 0.221 0.332 0.443

Computed properties:
**Space group**: C2/m (12)
**DOS at the Fermi energy**: 15.5 states/eV/cell

---

If we sort the structures by their calculated energies, the order from most to least stable is run Q, run P.

---

Run P
## LaPm12Pr7 (GGA-PBE)

Data for a relaxed structure of LaPm12Pr7.

Cell lengths 10.099, 10.099, 10.099 Å; angles 109.47, 109.47, 109.47 degrees
Atoms (fractional coordinates):
Pr 0.500 0.000 0.500
Pr 0.000 0.000 0.500
Pr 0.500 0.500 0.500
Pm 0.252 0.749 0.000
Pm 0.748 0.251 0.000
Pm 0.000 0.748 0.251
Pr 0.500 0.500 0.000
Pm 0.251 0.503 0.252
Pr 0.500 0.000 0.000
Pm 0.749 0.497 0.748
Pr 0.000 0.500 0.000
Pm 0.503 0.252 0.251
Pr 0.000 0.500 0.500
Pm 0.749 0.000 0.252
La 0.000 0.000 0.000
Pm 0.497 0.748 0.749
Pm 0.252 0.251 0.503
Pm 0.000 0.252 0.749
Pm 0.251 0.000 0.748
Pm 0.748 0.749 0.497

Computed properties:
**Space group**: Im-3m (229)
**DOS at the Fermi energy**: 30.6 states/eV/cell

---

Run Q
## LaPm12Pr7 (GGA-PBE)

Data for a relaxed structure of LaPm12Pr7.

Cell lengths 9.022, 9.022, 9.022 Å; angles 99.03, 99.03, 99.03 degrees
Atoms (fractional coordinates):
Pr 0.095 0.095 0.657
Pm 0.913 0.644 0.644
Pm 0.500 0.241 0.759
Pm 0.644 0.644 0.913
Pr 0.500 0.500 0.500
Pr 0.657 0.095 0.095
Pm 0.644 0.913 0.644
Pm 0.759 0.500 0.241
Pr 0.095 0.657 0.095
Pm 0.759 0.241 0.500
La 0.000 0.000 0.000
Pm 0.241 0.500 0.759
Pr 0.343 0.905 0.905
Pm 0.087 0.356 0.356
Pr 0.905 0.905 0.343
Pm 0.241 0.759 0.500
Pm 0.356 0.087 0.356
Pm 0.500 0.759 0.241
Pm 0.356 0.356 0.087
Pr 0.905 0.343 0.905

Computed properties:
**Space group**: R-3m (166)
**DOS at the Fermi energy**: 32.4 states/eV/cell

---

If we sort the structures by their calculated energies, the order from most to least stable is run Q, run P.

---

Run P
## La4PmPr7 (GGA-PBE)

Data for a relaxed structure of La4PmPr7.

Cell lengths 6.216, 12.137, 6.915 Å; angles 83.71, 63.29, 75.16 degrees
Atoms (fractional coordinates):
La 0.232 0.327 0.209
Pr 0.789 0.922 0.500
Pr 0.066 0.683 0.185
La 0.639 0.223 0.500
La 0.768 0.673 0.791
Pm 0.000 0.000 0.000
Pr 0.369 0.499 0.764
Pr 0.500 0.000 0.000
Pr 0.631 0.501 0.236
La 0.361 0.777 0.500
Pr 0.211 0.078 0.500
Pr 0.934 0.317 0.815

Computed properties:
**Space group**: C2/m (12)
**DOS at the Fermi energy**: 20.6 states/eV/cell

---

Run Q
## La4PmPr7 (GGA-PBE)

Data for a relaxed structure of La4PmPr7.

Cell lengths 7.432, 6.445, 11.198 Å; angles 72.97, 59.90, 89.94 degrees
Atoms (fractional coordinates):
La 0.498 0.333 0.668
Pm 0.000 0.000 0.000
La 0.502 0.667 0.332
Pr 0.249 0.501 0.000
Pr 0.249 0.834 0.668
Pr 0.751 0.499 0.000
Pr 0.500 0.000 0.000
Pr 0.000 0.333 0.668
La 0.749 0.833 0.667
Pr 0.751 0.166 0.332
Pr 0.000 0.667 0.332
La 0.251 0.167 0.333

Computed properties:
**Space group**: P-1 (2)
**DOS at the Fermi energy**: 21.3 states/eV/cell

---

If we sort the structures by their calculated energies, the order from most to least stable is run Q, run P.

---

Run P
## La2Pm3Pr3 (GGA-PBE)

Data for a relaxed structure of La2Pm3Pr3.

Cell lengths 3.625, 7.113, 23.040 Å; angles 90.00, 90.00, 104.76 degrees
Atoms (fractional coordinates):
Pm 0.630 0.261 0.495
La 0.754 0.509 0.873
Pr 0.375 0.751 0.750
Pm 0.373 0.746 0.250
Pm 0.630 0.261 0.005
Pr 0.011 0.022 0.624
La 0.246 0.491 0.127
Pm 0.370 0.739 0.995
Pr 0.989 0.978 0.124
Pr 0.989 0.978 0.376
Pr 0.011 0.022 0.876
Pr 0.625 0.249 0.250
La 0.246 0.491 0.373
Pm 0.627 0.254 0.750
La 0.754 0.509 0.627
Pm 0.370 0.739 0.505

Computed properties:
**Space group**: Cmcm (63)
**DOS at the Fermi energy**: 26.2 states/eV/cell

---

Run Q
## La2Pm3Pr3 (GGA-PBE)

Data for a relaxed structure of La2Pm3Pr3.

Cell lengths 5.230, 5.235, 11.078 Å; angles 103.67, 103.65, 90.00 degrees
Atoms (fractional coordinates):
Pr 0.500 0.000 0.000
La 0.750 0.250 0.500
Pr 0.624 0.624 0.248
Pm 0.000 0.500 0.000
Pm 0.876 0.876 0.752
La 0.250 0.750 0.500
Pr 0.376 0.376 0.752
Pm 0.124 0.124 0.248

Computed properties:
**Space group**: Immm (71)
**DOS at the Fermi energy**: 13.7 states/eV/cell

---

If we sort the structures by their calculated energies, the order from most to least stable is run Q, run P.

---

Run P
## La2Pm3Pr6 (GGA-PBE)

Data for a relaxed structure of La2Pm3Pr6.

Cell lengths 6.435, 8.272, 15.281 Å; angles 49.37, 60.45, 97.15 degrees
Atoms (fractional coordinates):
Pr 0.909 0.363 0.273
Pm 0.454 0.183 0.636
Pr 0.272 0.907 0.183
Pr 0.091 0.637 0.727
Pm 0.546 0.817 0.364
Pr 0.728 0.093 0.817
Pr 0.818 0.725 0.545
Pm 0.000 0.000 0.000
Pr 0.182 0.275 0.455
La 0.361 0.543 0.910
La 0.639 0.457 0.090

Computed properties:
**Space group**: P-1 (2)
**DOS at the Fermi energy**: 19.2 states/eV/cell

---

Run Q
## La2Pm3Pr6 (GGA-PBE)

Data for a relaxed structure of La2Pm3Pr6.

Cell lengths 5.826, 5.826, 13.180 Å; angles 102.77, 102.77, 90.00 degrees
Atoms (fractional coordinates):
La 0.441 0.441 0.882
Pr 0.903 0.403 0.805
Pm 0.839 0.839 0.678
Pr 0.597 0.097 0.195
Pm 0.161 0.161 0.322
Pm 0.000 0.000 0.000
Pr 0.701 0.701 0.403
Pr 0.097 0.597 0.195
Pr 0.299 0.299 0.597
La 0.559 0.559 0.118
Pr 0.403 0.903 0.805

Computed properties:
**Space group**: I4/mmm (139)
**DOS at the Fermi energy**: 15.4 states/eV/cell

---

If we sort the structures by their calculated energies, the order from most to least stable is run P, run Q.

---

Run P
## LaPm3Pr2 (GGA-PBE)

Data for a relaxed structure of LaPm3Pr2.

Cell lengths 9.037, 7.379, 7.379 Å; angles 120.00, 90.00, 90.00 degrees
Atoms (fractional coordinates):
Pr 0.000 0.000 0.000
La 0.335 0.667 0.333
Pr 0.000 0.500 0.500
Pm 0.334 0.167 0.333
La 0.665 0.333 0.667
Pr 0.000 0.500 0.000
Pr 0.000 0.000 0.500
Pm 0.334 0.667 0.833
Pm 0.666 0.833 0.167
Pm 0.666 0.333 0.167
Pm 0.334 0.167 0.833
Pm 0.666 0.833 0.667

Computed properties:
**Space group**: P-3m1 (164)
**DOS at the Fermi energy**: 17.5 states/eV/cell

---

Run Q
## LaPm3Pr2 (GGA-PBE)

Data for a relaxed structure of LaPm3Pr2.

Cell lengths 6.882, 7.828, 7.828 Å; angles 90.25, 90.00, 90.00 degrees
Atoms (fractional coordinates):
Pm 0.000 0.748 0.252
Pm 0.000 0.252 0.748
Pr 0.250 0.598 0.900
Pr 0.750 0.100 0.402
Pm 0.750 0.595 0.595
La 0.250 0.101 0.101
Pm 0.500 0.252 0.748
Pr 0.750 0.402 0.100
Pm 0.500 0.748 0.252
La 0.750 0.899 0.899
Pm 0.250 0.405 0.405
Pr 0.250 0.900 0.598

Computed properties:
**Space group**: Cmcm (63)
**DOS at the Fermi energy**: 13.2 states/eV/cell

---

If we sort the structures by their calculated energies, the order from most to least stable is run P, run Q.

---

Run P
## La2Pm5Pr4 (GGA-PBE)

Data for a relaxed structure of La2Pm5Pr4.

Cell lengths 3.588, 9.478, 12.915 Å; angles 111.53, 97.99, 90.00 degrees
Atoms (fractional coordinates):
Pm 0.857 0.049 0.713
Pr 0.000 0.701 0.000
Pm 0.857 0.664 0.713
La 0.731 0.731 0.462
La 0.269 0.269 0.538
Pr 0.000 0.299 0.000
Pm 0.143 0.336 0.287
Pr 0.403 0.403 0.806
Pr 0.597 0.597 0.194
Pm 0.500 0.000 0.000
Pm 0.143 0.951 0.287

Computed properties:
**Space group**: Immm (71)
**DOS at the Fermi energy**: 16.0 states/eV/cell

---

Run Q
## La2Pm5Pr4 (GGA-PBE)

Data for a relaxed structure of La2Pm5Pr4.

Cell lengths 5.850, 6.806, 10.358 Å; angles 90.97, 106.40, 90.00 degrees
Atoms (fractional coordinates):
Pm 0.790 0.600 0.580
Pm 0.868 0.100 0.736
Pm 0.500 0.000 0.000
Pr 0.696 0.082 0.393
Pm 0.210 0.400 0.420
Pr 0.979 0.719 0.958
La 0.405 0.451 0.810
Pr 0.304 0.918 0.607
Pm 0.132 0.900 0.264
Pr 0.021 0.281 0.042
La 0.595 0.549 0.190

Computed properties:
**Space group**: C2/m (12)
**DOS at the Fermi energy**: 18.1 states/eV/cell

---

If we sort the structures by their calculated energies, the order from most to least stable is run Q, run P.

---

Run P
## La4PmPr3 (GGA-PBE)

Data for a relaxed structure of La4PmPr3.

Cell lengths 3.513, 9.178, 9.178 Å; angles 98.21, 90.00, 90.00 degrees
Atoms (fractional coordinates):
Pr 0.500 0.500 0.500
Pm 0.500 0.000 0.000
La 0.000 0.249 0.249
Pr 0.000 0.500 0.000
Pr 0.000 0.000 0.500
La 0.000 0.751 0.751
La 0.500 0.752 0.248
La 0.500 0.248 0.752

Computed properties:
**Space group**: Cmmm (65)
**DOS at the Fermi energy**: 19.3 states/eV/cell

---

Run Q
## La4PmPr3 (GGA-PBE)

Data for a relaxed structure of La4PmPr3.

Cell lengths 7.405, 7.404, 10.573 Å; angles 90.00, 90.00, 90.00 degrees
Atoms (fractional coordinates):
La 0.500 0.310 0.000
Pr 0.000 0.810 0.500
La 0.749 0.061 0.250
Pr 0.251 0.061 0.750
Pr 0.749 0.561 0.750
Pr 0.251 0.061 0.250
Pm 0.500 0.311 0.500
Pr 0.000 0.310 0.000
Pr 0.749 0.561 0.250
La 0.000 0.811 0.000
La 0.500 0.810 0.500
La 0.000 0.311 0.500
La 0.251 0.561 0.750
La 0.251 0.561 0.250
Pm 0.500 0.811 0.000
La 0.749 0.061 0.750

Computed properties:
**Space group**: Pmn2_1 (31)
**DOS at the Fermi energy**: 28.3 states/eV/cell

---

If we sort the structures by their calculated energies, the order from most to least stable is run Q, run P.